A plane-wave DFT calculation with PBE-GGA was carried out for crystalline Ac2PdAuO5 at its relaxed geometry.

Properties
Its symmetry is Cmc2_1. For the density, the calculation gives 9.7 g cm⁻³. The uncorrected formation energy is -15.7 eV per formula unit. The spin magnetization comes out at 0.000 μB per formula unit. Its energy is -0.2335 Ha/atom.

Cell: 7.430 7.430 10.793 Å, 90.00 90.00 151.34°
Atoms (fractional coordinates):
Ac: 0.111 0.889 0.500
Ac: 0.142 0.858 0.124
Ac: 0.858 0.142 0.624
Ac: 0.889 0.111 0.000
Pd: 0.204 0.796 0.846
Pd: 0.796 0.204 0.346
Au: 0.461 0.539 0.278
Au: 0.539 0.461 0.778
O: 0.065 0.935 0.898
O: 0.283 0.717 0.430
O: 0.309 0.691 0.103
O: 0.342 0.658 0.801
O: 0.484 0.516 0.594
O: 0.516 0.484 0.094
O: 0.658 0.342 0.301
O: 0.691 0.309 0.603
O: 0.717 0.283 0.930
O: 0.935 0.065 0.398